Compound: Sc2GeC
Source: Alexandria
Functional: PBE
Structure: relaxed

```
Sc2GeC
1.0
0.000 3.186 3.186
3.186 0.000 3.186
3.186 3.186 0.000
Sc Ge C
2 1 1
Direct
0.250 0.250 0.250
0.750 0.750 0.750
0.000 0.000 0.000
0.500 0.500 0.500
```

For the volume, the calculation gives 65 Å³ per cell. For the total energy, the calculation gives -6.37 eV/atom. The density of states at the Fermi level is 4.9 states/eV/f.u. As for the space-group type: No. 225. Its formation energy is 1.0 eV/f.u. As for the spin magnetization: 0.00 μB/atom.